VASP calculation (PBE) on Pt4O11 after structural relaxation.

Cell: 4.644 5.171 8.705 Å, 80.57 79.68 79.54°
Fractional coordinates of all 15 atoms:
Pt1 0.000 0.000 0.000
Pt2 0.157 0.527 0.828
Pt3 0.485 0.531 0.494
Pt4 0.662 0.034 0.330
O1 0.046 0.071 0.209
O2 0.091 0.489 0.615
O3 0.243 0.648 0.014
O4 0.306 0.896 0.434
O5 0.340 0.160 0.888
O6 0.421 0.390 0.306
O7 0.533 0.603 0.701
O8 0.641 0.898 0.135
O9 0.746 0.194 0.504
O10 0.812 0.366 0.939
O11 0.912 0.877 0.815

Values from the calculation:
DFT total energy = -5.2080 eV/atom
Energy above the lowest structure with this stoichiometry = 16 meV/atom
Symmetry = P1
Mass density = 7.9 g cm⁻³

VASP calculation (PBE) on Hf6Zn16Cu7 after structural relaxation.

Cell: 8.516 8.516 8.516 Å, 60.00 60.00 60.00°
Fractional coordinates of all 29 atoms:
Hf1 0.192 0.192 0.808
Hf2 0.192 0.808 0.192
Hf3 0.192 0.808 0.808
Hf4 0.808 0.192 0.192
Hf5 0.808 0.192 0.808
Hf6 0.808 0.808 0.192
Zn1 0.141 0.620 0.620
Zn2 0.166 0.166 0.166
Zn3 0.166 0.166 0.501
Zn4 0.166 0.501 0.166
Zn5 0.380 0.380 0.380
Zn6 0.380 0.380 0.859
Zn7 0.380 0.859 0.380
Zn8 0.499 0.834 0.834
Zn9 0.501 0.166 0.166
Zn10 0.620 0.141 0.620
Zn11 0.620 0.620 0.141
Zn12 0.620 0.620 0.620
Zn13 0.834 0.499 0.834
Zn14 0.834 0.834 0.499
Zn15 0.834 0.834 0.834
Zn16 0.859 0.380 0.380
Cu1 0.000 0.000 0.500
Cu2 0.000 0.500 0.000
Cu3 0.000 0.500 0.500
Cu4 0.500 0.000 0.000
Cu5 0.500 0.000 0.500
Cu6 0.500 0.500 0.000
Cu7 0.500 0.500 0.500

Values from the calculation:
DFT total energy = -3.8536 eV/atom
Symmetry = Fm-3m
Mass density = 9.7 g cm⁻³
ΔE_f = -0.199 eV/atom

VASP calculation (PBE) on SmErNO after structural relaxation.

Cell: 4.397 4.397 8.186 Å, 90.00 90.00 90.00°
Fractional coordinates of all 8 atoms:
Sm1 0.250 0.250 0.104
Sm2 0.750 0.750 0.896
Er1 0.250 0.750 0.500
Er2 0.750 0.250 0.500
N1 0.250 0.250 0.570
N2 0.750 0.750 0.430
O1 0.250 0.750 0.000
O2 0.750 0.250 0.000

Values from the calculation:
DFT total energy = -7.4518 eV/atom
Energy above the lowest structure with this stoichiometry = 416 meV/atom
Symmetry = P4/nmm
Mass density = 7.3 g cm⁻³

VASP calculation (PBE) on LaInSiPt2 after structural relaxation.

Cell: 4.367 4.367 10.790 Å, 90.00 90.00 90.00°
Fractional coordinates of all 10 atoms:
La1 0.250 0.250 0.236
La2 0.750 0.750 0.764
In1 0.250 0.750 0.500
In2 0.750 0.250 0.500
Si1 0.250 0.250 0.886
Si2 0.750 0.750 0.114
Pt1 0.250 0.250 0.667
Pt2 0.250 0.750 0.000
Pt3 0.750 0.250 0.000
Pt4 0.750 0.750 0.333

Values from the calculation:
DFT total energy = -6.0421 eV/atom
Symmetry = P4/nmm
Mass density = 10.8 g cm⁻³